Entry 1:
12
Lattice="8.028 0.000 0.000 0.000 3.888 0.000 -2.306 0.000 8.225" Properties=species:S:1:pos:R:3 comment="PBE SrLiScS3, relaxed" density_g_cm3=3.0 formation_energy_uncorrected_ev_per_atom=-1.839 pbc="T T T"
Sr 1.059 0.972 2.000
Sr 4.662 2.916 6.225
Li -0.655 0.972 4.863
Li 6.376 2.916 3.362
Sc 0.688 2.916 6.925
Sc 5.033 0.972 1.299
S -1.079 0.972 7.151
S 0.575 2.916 4.335
S 3.256 2.916 1.300
S 2.465 0.972 6.925
S 5.147 0.972 3.889
S 6.800 2.916 1.073

***

Entry 2:
10
Lattice="3.190 1.842 5.858 -3.190 1.842 5.858 0.000 -3.683 5.858" Properties=species:S:1:pos:R:3 comment="PBE LiSc2TaS6, relaxed" density_g_cm3=3.8 formation_energy_uncorrected_ev_per_atom=-1.437 pbc="T T T"
Li 0.000 0.000 0.000
Sc 0.000 0.000 5.303
Sc 0.000 0.000 14.113
Ta 0.000 0.000 8.573
S -1.942 -0.049 6.966
S -1.115 -1.726 9.832
S 1.013 -1.657 6.966
S -0.937 1.829 9.832
S 0.929 1.706 6.966
S 2.052 -0.103 9.832

***

Entry 3:
12
Lattice="3.340 -5.792 0.000 3.340 5.792 0.000 -2.208 0.000 6.149" Properties=species:S:1:pos:R:3 comment="PBE Li3Tb2ScS6, relaxed" dos_ef_per_ev_fu=0.00 density_g_cm3=4.0 formation_energy_uncorrected_ev_per_atom=-1.813 pbc="T T T"
Li 0.000 0.000 0.000
Li 3.340 1.847 0.000
Li 3.340 -1.847 0.000
Tb 2.236 3.854 3.075
Tb 2.236 -3.854 3.075
Sc 2.236 0.000 3.075
S 1.168 1.849 1.548
S 0.100 0.000 4.584
S 1.168 -1.849 1.548
S 3.304 1.849 4.601
S 4.371 0.000 1.565
S 3.304 -1.849 4.601

***

Entry 4:
15
Lattice="3.775 2.180 6.214 -3.775 2.180 6.214 0.000 -4.359 6.214" Properties=species:S:1:pos:R:3 comment="PBE LiTb3Sc3S8, relaxed" dos_ef_per_ev_fu=4.43 density_g_cm3=4.7 formation_energy_uncorrected_ev_per_atom=-1.928 pbc="T T T"
Li 0.000 0.000 0.000
Tb -3.775 0.000 9.322
Tb -1.888 1.090 3.107
Tb 1.888 1.090 3.107
Sc -1.888 -1.090 6.214
Sc -1.888 1.090 12.429
Sc 0.000 2.180 6.214
S 0.000 -2.154 7.677
S -1.865 1.077 7.677
S 0.000 0.000 4.766
S -1.865 -1.077 10.967
S 1.865 1.077 7.677
S 0.000 0.000 13.877
S 1.865 -1.077 10.967
S 0.000 2.154 10.967

***

Entry 5:
16
Lattice="3.712 2.143 6.187 -3.712 2.143 6.187 0.000 -4.286 6.187" Properties=species:S:1:pos:R:3 comment="PBE Li3TbSc4S8, relaxed" dos_ef_per_ev_fu=4.39 density_g_cm3=3.5 formation_energy_uncorrected_ev_per_atom=-1.832 pbc="T T T"
Li -1.856 -1.072 6.187
Li -1.856 1.072 12.374
Li 0.000 2.143 6.187
Tb 0.000 0.000 0.000
Sc -3.712 0.000 9.281
Sc -1.856 1.072 3.094
Sc 1.856 1.072 3.094
Sc 0.000 0.000 9.281
S 0.000 0.000 4.572
S -1.822 -1.052 10.775
S 0.000 -2.104 7.786
S -1.822 1.052 7.786
S 1.822 -1.052 10.775
S 0.000 2.104 10.775
S 1.822 1.052 7.786
S 0.000 0.000 13.989

***

Entry 6:
12
Lattice="7.717 0.000 0.000 0.000 3.727 0.000 -1.983 0.000 7.987" Properties=species:S:1:pos:R:3 comment="PBE LiTbScS3, relaxed" dos_ef_per_ev_fu=2.77 density_g_cm3=4.4 formation_energy_uncorrected_ev_per_atom=-1.765 pbc="T T T"
Li 0.537 0.932 0.707
Li 5.198 2.795 7.280
Tb 0.058 0.932 5.815
Tb 5.676 2.795 2.172
Sc 1.931 2.795 2.735
Sc 3.804 0.932 5.252
S 0.025 0.932 2.970
S 1.756 2.795 0.013
S 2.032 2.795 5.345
S 3.702 0.932 2.641
S 3.978 0.932 7.974
S 5.709 2.795 5.017

***

Entry 7:
18
Lattice="1.919 -7.981 0.000 1.919 7.981 0.000 0.000 0.000 11.570" Properties=species:S:1:pos:R:3 comment="PBE LiTb2ScS5, relaxed" density_g_cm3=5.0 formation_energy_uncorrected_ev_per_atom=-1.862 pbc="T T T"
Li 1.919 7.694 5.785
Li 1.919 -7.694 0.000
Tb 1.919 2.050 3.695
Tb 1.919 1.697 8.198
Tb 1.919 -1.697 2.413
Tb 1.919 -2.050 9.480
Sc 1.919 3.157 0.332
Sc 1.919 -3.157 6.117
S 1.919 7.951 9.295
S 1.919 5.764 0.259
S 1.919 4.906 4.337
S 1.919 4.512 7.897
S 1.919 0.835 1.072
S 1.919 -0.835 6.857
S 1.919 -4.512 2.112
S 1.919 -4.906 10.122
S 1.919 -5.764 6.044
S 1.919 -7.951 3.510

***

Entry 8:
16
Lattice="3.819 2.205 6.205 -3.819 2.205 6.205 0.000 -4.410 6.205" Properties=species:S:1:pos:R:3 comment="PBE LiTb4Sc3S8, relaxed" dos_ef_per_ev_fu=7.66 density_g_cm3=5.5 formation_energy_uncorrected_ev_per_atom=-1.914 pbc="T T T"
Li 0.000 0.000 0.000
Tb -3.819 0.000 9.307
Tb -1.910 1.103 3.102
Tb 1.910 1.103 3.102
Tb 0.000 0.000 9.307
Sc -1.910 -1.103 6.205
Sc -1.910 1.103 12.410
Sc 0.000 2.205 6.205
S 0.000 -2.216 7.640
S -1.919 1.108 7.640
S -1.919 -1.108 10.974
S 0.000 0.000 4.761
S 0.000 0.000 13.854
S 1.919 1.108 7.640
S 1.919 -1.108 10.974
S 0.000 2.216 10.974

***

Entry 9:
15
Lattice="3.909 2.257 6.070 -3.909 2.257 6.070 0.000 -4.513 6.070" Properties=species:S:1:pos:R:3 comment="PBE Li3Tb3ScS8, relaxed" dos_ef_per_ev_fu=6.47 density_g_cm3=4.1 formation_energy_uncorrected_ev_per_atom=-1.725 pbc="T T T"
Li -1.954 -1.128 6.070
Li -1.954 1.128 12.141
Li 0.000 2.257 6.070
Tb -3.909 0.000 9.106
Tb -1.954 1.128 3.035
Tb 1.954 1.128 3.035
Sc 0.000 0.000 9.106
S 0.000 0.000 4.586
S 0.000 -2.145 7.633
S -1.857 1.072 7.633
S -1.857 -1.072 10.578
S 1.857 1.072 7.633
S 1.857 -1.072 10.578
S 0.000 2.145 10.578
S 0.000 0.000 13.625

***

Entry 10:
12
Lattice="3.304 -5.733 0.000 3.304 5.733 0.000 -2.216 0.000 6.211" Properties=species:S:1:pos:R:3 comment="PBE LiTb3Sc2S6, relaxed" dos_ef_per_ev_fu=5.19 density_g_cm3=5.4 formation_energy_uncorrected_ev_per_atom=-1.915 pbc="T T T"
Li 0.000 0.000 0.000
Tb 2.196 3.846 3.106
Tb 2.196 0.000 3.106
Tb 2.196 -3.846 3.106
Sc 3.304 1.896 0.000
Sc 3.304 -1.896 0.000
S 1.091 1.904 1.450
S -0.031 0.000 4.788
S 1.091 -1.904 1.450
S 3.301 1.904 4.761
S 4.422 0.000 1.423
S 3.301 -1.904 4.761

***

Entry 11:
16
Lattice="5.304 -5.215 0.000 5.304 5.215 0.000 -4.715 0.000 5.865" Properties=species:S:1:pos:R:3 comment="PBE Li2ScTeS4, relaxed" dos_ef_per_ev_fu=1.37 density_g_cm3=3.2 formation_energy_uncorrected_ev_per_atom=-1.023 pbc="T T T"
Li 0.000 0.000 0.000
Li -2.358 0.000 2.932
Li 2.652 2.608 0.000
Li 0.294 -2.608 2.932
Sc 5.304 0.000 0.000
Sc 2.946 0.000 2.932
Te 0.294 2.608 2.932
Te 2.652 -2.608 0.000
S 2.876 2.597 2.726
S 5.374 2.597 0.206
S 2.708 0.018 0.307
S 0.351 -0.018 3.239
S 5.541 0.018 2.625
S 3.183 -0.018 5.558
S 0.518 -2.597 5.658
S 3.016 -2.597 3.139

***

Entry 12:
8
Lattice="6.561 0.000 0.000 0.000 3.782 0.000 -2.139 0.000 6.641" Properties=species:S:1:pos:R:3 comment="PBE LiTh2ScS4, relaxed" dos_ef_per_ev_fu=3.77 density_g_cm3=6.5 formation_energy_uncorrected_ev_per_atom=-1.746 pbc="T T T"
Li 0.000 0.000 0.000
Th -1.070 1.891 3.321
Th 2.211 0.000 3.321
Sc 3.280 1.891 0.000
S 1.109 1.891 1.450
S 0.022 0.000 5.203
S 4.400 0.000 1.439
S 3.313 1.891 5.192

***

Entry 13:
14
Lattice="-3.769 4.144 5.525 3.769 -4.144 5.525 3.769 4.144 -5.525" Properties=species:S:1:pos:R:3 comment="PBE LiThScS4, relaxed" dos_ef_per_ev_fu=0.00 density_g_cm3=4.0 formation_energy_uncorrected_ev_per_atom=-1.806 pbc="T T T"
Li 0.000 2.072 1.488
Li 3.769 2.072 4.037
Th 3.769 0.000 0.000
Th 0.000 0.000 5.525
Sc 1.885 2.072 -2.762
Sc 1.885 -2.072 2.762
S 3.769 3.886 -2.761
S 3.769 -0.257 2.761
S 1.916 2.072 -0.134
S 5.623 2.072 -0.134
S -1.854 2.072 5.658
S 1.854 2.072 5.658
S 0.000 4.401 2.764
S 0.000 0.257 8.285

***

Entry 14:
16
Lattice="3.779 2.182 6.145 -3.779 2.182 6.145 0.000 -4.363 6.145" Properties=species:S:1:pos:R:3 comment="PBE Li4ThSc3S8, relaxed" dos_ef_per_ev_fu=4.17 density_g_cm3=3.6 formation_energy_uncorrected_ev_per_atom=-1.729 pbc="T T T"
Li 0.000 0.000 0.000
Li -1.889 -1.091 6.145
Li -1.889 1.091 12.290
Li 0.000 2.182 6.145
Th 0.000 0.000 9.218
Sc -3.779 0.000 9.218
Sc -1.889 1.091 3.073
Sc 1.889 1.091 3.073
S -1.977 -1.141 10.757
S 0.000 -2.282 7.679
S -1.977 1.141 7.679
S 0.000 0.000 4.538
S 0.000 0.000 13.897
S 1.977 -1.141 10.757
S 0.000 2.282 10.757
S 1.977 1.141 7.679

***

Entry 15:
14
Lattice="-3.597 3.752 5.213 3.597 -3.752 5.213 3.597 3.752 -5.213" Properties=species:S:1:pos:R:3 comment="PBE LiScTiS4, relaxed" density_g_cm3=2.7 formation_energy_uncorrected_ev_per_atom=-1.529 pbc="T T T"
Li 0.000 1.876 1.327
Li 3.597 1.876 3.886
Sc 3.597 0.000 0.000
Sc 0.000 0.000 5.213
Ti 1.798 1.876 -2.607
Ti 1.798 -1.876 2.607
S 3.597 -0.189 2.587
S 3.597 3.563 -2.587
S 1.850 1.876 -0.172
S 5.344 1.876 -0.172
S -1.747 1.876 5.386
S 1.747 1.876 5.386
S 0.000 0.189 7.800
S 0.000 3.942 2.627

***

Entry 16:
8
Lattice="6.237 0.000 0.000 0.000 3.585 0.000 -2.073 0.000 6.102" Properties=species:S:1:pos:R:3 comment="PBE Li2ScTiS4, relaxed" dos_ef_per_ev_fu=3.21 density_g_cm3=2.9 formation_energy_uncorrected_ev_per_atom=-1.568 pbc="T T T"
Li 0.000 0.000 0.000
Li 3.119 1.793 0.000
Sc -1.036 1.793 3.051
Ti 2.082 0.000 3.051
S 0.057 0.000 4.524
S 1.089 1.793 1.604
S 3.076 1.793 4.498
S 4.107 0.000 1.578

***

Entry 17:
16
Lattice="3.647 2.106 6.088 -3.647 2.106 6.088 0.000 -4.211 6.088" Properties=species:S:1:pos:R:3 comment="PBE Li4Sc3TiS8, relaxed" dos_ef_per_ev_fu=4.36 density_g_cm3=2.8 formation_energy_uncorrected_ev_per_atom=-1.664 pbc="T T T"
Li 0.000 0.000 0.000
Li -1.824 -1.053 6.088
Li -1.824 1.053 12.175
Li 0.000 2.106 6.088
Sc -3.647 0.000 9.131
Sc -1.824 1.053 3.044
Sc 1.824 1.053 3.044
Ti 0.000 0.000 9.131
S 0.000 0.000 4.523
S -1.778 -1.027 10.586
S 0.000 -2.053 7.677
S -1.778 1.027 7.677
S 1.778 -1.027 10.586
S 0.000 2.053 10.586
S 1.778 1.027 7.677
S 0.000 0.000 13.740

***

Entry 18:
15
Lattice="3.649 2.107 6.118 -3.649 2.107 6.118 0.000 -4.213 6.118" Properties=species:S:1:pos:R:3 comment="PBE Li3Sc3TiS8, relaxed" density_g_cm3=2.7 formation_energy_uncorrected_ev_per_atom=-1.663 pbc="T T T"
Li -1.824 -1.053 6.118
Li -1.824 1.053 12.237
Li 0.000 2.107 6.118
Sc -3.649 0.000 9.177
Sc -1.824 1.053 3.059
Sc 1.824 1.053 3.059
Ti 0.000 0.000 9.177
S 0.000 0.000 4.539
S -1.747 -1.008 10.597
S 0.000 -2.017 7.758
S -1.747 1.008 7.758
S 1.747 -1.008 10.597
S 0.000 2.017 10.597
S 1.747 1.008 7.758
S 0.000 0.000 13.816

***

Entry 19:
11
Lattice="3.151 -5.412 0.000 3.151 5.412 0.000 -2.067 0.000 6.124" Properties=species:S:1:pos:R:3 comment="PBE Li2Sc2TiS6, relaxed" density_g_cm3=2.7 formation_energy_uncorrected_ev_per_atom=-1.613 pbc="T T T"
Li 3.151 3.605 0.000
Li 3.151 -3.605 0.000
Sc 2.118 1.804 3.062
Sc 2.118 -1.804 3.062
Ti -1.033 0.000 3.062
S -0.028 1.741 4.496
S 0.956 0.000 1.637
S -0.028 -1.741 4.496
S 4.263 1.741 1.628
S 3.279 0.000 4.487
S 4.263 -1.741 1.628